# 1
# KScSe2

A geometry-optimized KScSe2 structure (PBE, Alexandria via LeMat-Bulk).

Properties
Space group: P2/m, No. 10
Formation energy without anion corrections in eV/atom: -1.32
DFT total energy in eV per cell: -19.68
Total moment in μB per atom: 0.00
Calculated volume in Å³ per cell: 110.1

Cell and atoms, written as POSCAR:
```
KScSe2
1.0
3.938 0.000 0.000
0.000 3.676 0.000
-1.750 0.000 7.605
K Sc Se
1 1 2
direct
0.000 0.000 0.000 K
0.500 0.000 0.500 Sc
0.345 0.500 0.714 Se
0.655 0.500 0.286 Se
```

---

# 2
# KScSe2

A geometry-optimized KScSe2 structure (PBE, Alexandria via LeMat-Bulk).

Properties
Space group: Pnma, No. 62
Formation energy without anion corrections in eV/atom: -1.46
DFT total energy in eV per cell: -80.95
Total moment in μB per atom: 0.00
Calculated volume in Å³ per cell: 492.2

Cell and atoms, written as POSCAR:
```
KScSe2
1.0
9.013 0.000 0.000
0.000 5.628 0.000
0.000 0.000 9.704
K Sc Se
4 4 8
direct
0.133 0.250 0.045 K
0.367 0.750 0.545 K
0.633 0.250 0.455 K
0.867 0.750 0.955 K
0.038 0.250 0.629 Sc
0.462 0.750 0.129 Sc
0.538 0.250 0.871 Sc
0.962 0.750 0.371 Sc
0.021 0.750 0.628 Se
0.179 0.750 0.192 Se
0.321 0.250 0.692 Se
0.479 0.250 0.128 Se
0.521 0.750 0.872 Se
0.679 0.750 0.308 Se
0.821 0.250 0.808 Se
0.979 0.250 0.372 Se
```

---

Question: Among the records above, which one has the highest formation energy without anion corrections?
Answer: number 1

---

Please write out number 1 again, unchanged.
# KScSe2

A geometry-optimized KScSe2 structure (PBE, Alexandria via LeMat-Bulk).

Properties
Space group: P2/m, No. 10
Formation energy without anion corrections in eV/atom: -1.32
DFT total energy in eV per cell: -19.68
Total moment in μB per atom: 0.00
Calculated volume in Å³ per cell: 110.1

Cell and atoms, written as POSCAR:
```
KScSe2
1.0
3.938 0.000 0.000
0.000 3.676 0.000
-1.750 0.000 7.605
K Sc Se
1 1 2
direct
0.000 0.000 0.000 K
0.500 0.000 0.500 Sc
0.345 0.500 0.714 Se
0.655 0.500 0.286 Se
```

---

Question: Look up the formation energy without anion corrections of the first one.
Answer: -1.32 eV/atom